The following is a PBE calculation of a relaxed structure of SbI3O, from the Alexandria database.

## Properties
Crystal system: cubic
Total magnetic moment: 0.0 μB/cell
Energy above the lowest structure with this stoichiometry: 5 meV/atom
Uncorrected energy: -2.25 eV per atom
Formation energy (no corrections): 2.50 eV per formula unit
ρ: 6335 kg/m3

Geometry as CIF:
```
data_SbI3O
_cell_length_a 5.141
_cell_length_b 5.141
_cell_length_c 5.141
_cell_angle_alpha 90.00
_cell_angle_beta 90.00
_cell_angle_gamma 90.00
_symmetry_space_group_name_H-M 'P 1'
_symmetry_Int_Tables_number 1
_symmetry_space_group_name_Hall 'P 1'
loop_
_atom_site_label
_atom_site_type_symbol
_atom_site_fract_x
_atom_site_fract_y
_atom_site_fract_z
I1 I 0.000 0.500 0.000
I2 I 0.000 0.000 0.500
I3 I 0.500 0.000 0.000
Sb1 Sb 0.500 0.500 0.500
O1 O 0.000 0.000 0.000
```